[1]
{
  "formula": "La5PaS6",
  "functional": "PBE",
  "state": "relaxed",
  "lattice_angstrom": [[-6.709, 0.312, 2.366], [-2.496, -6.594, 0.965], [0.805, -3.223, 6.295]],
  "species": ["La", "La", "La", "La", "La", "S", "S", "S", "S", "S", "S", "Pa"],
  "fractional_positions": [[0.000, 0.666, 0.669], [0.500, 0.500, 0.000], [0.500, 0.828, 0.344], [0.000, 0.334, 0.331], [0.500, 0.172, 0.656], [0.241, 0.920, 0.679], [0.247, 0.238, 0.000], [0.753, 0.762, 0.000], [0.241, 0.599, 0.321], [0.759, 0.401, 0.679], [0.759, 0.080, 0.321], [0.000, 0.000, 0.000]],
  "formation_energy_uncorrected_mev_per_atom": -2044
}

=====

[2]
{
  "formula": "Pm3SmHo2",
  "functional": "PBE",
  "state": "relaxed",
  "lattice_angstrom": [[7.011, -1.128, -1.513], [-4.192, 9.416, -0.409], [-2.154, 0.726, 6.904]],
  "species": ["Ho", "Ho", "Ho", "Ho", "Sm", "Sm", "Pm", "Pm", "Pm", "Pm", "Pm", "Pm"],
  "fractional_positions": [[0.697, 0.334, 0.640], [0.303, 0.666, 0.860], [0.697, 0.334, 0.140], [0.303, 0.666, 0.360], [0.254, 0.003, 0.251], [0.746, 0.997, 0.749], [0.805, 0.665, 0.861], [0.805, 0.665, 0.361], [0.195, 0.335, 0.639], [0.195, 0.335, 0.139], [0.254, 0.003, 0.751], [0.746, 0.997, 0.249]],
  "ef_ev_per_atom": 0.001
}

=====

[3]
{
  "formula": "TaIrW2",
  "functional": "PBE",
  "state": "relaxed",
  "lattice_angstrom": [[4.470, 0.000, 0.000], [0.000, 2.774, 0.008], [0.000, 0.938, 5.238]],
  "species": ["Ir", "W", "W", "Ta"],
  "fractional_positions": [[0.000, 0.513, 0.509], [0.000, 0.995, 0.008], [0.500, 0.228, 0.237], [0.500, 0.764, 0.746]],
  "ef_ev_per_atom": -0.064
}